First-principles (GGA-PBE) data for crystalline SmHSe at its relaxed geometry, as listed in Alexandria.

As for the total energy: -5.2199 eV/atom. As for the density of states at the Fermi level: 0.01 states/eV/atom.

Cell lengths 3.9780, 8.8357, 7.8905 Å; angles 26.76, 120.25, 116.73 degrees
Last column: nearest neighbours and their distance in Å.
Atoms (fractional coordinates):
H1 0.2500 0.7503 0.7496  4 Sm 2.41-2.42
H2 0.7500 0.2497 0.2504  4 Sm 2.41-2.42
Sm1 0.5490 0.7498 0.5490  4 H 2.41-2.42
Sm2 0.4510 0.2502 0.4510  4 H 2.41-2.42
Se1 0.0924 0.7499 0.0925  5 Sm 2.97-3.11, 4 H 3.07
Se2 0.9076 0.2501 0.9075  5 Sm 2.97-3.11, 4 H 3.07

=====

First-principles (GGA-PBE) data for crystalline Sc2SiOs at its relaxed geometry, as listed in Alexandria.

As for the total energy: -7.5455 eV/atom. As for the density of states at the Fermi level: 0.83 states/eV/atom.

Cell lengths 8.5786, 8.5786, 8.5786 Å; angles 21.10, 21.10, 21.10 degrees
Last column: nearest neighbours and their distance in Å.
Atoms (fractional coordinates):
Si1 0.2500 0.2500 0.2500  6 Sc 2.83, 6 Si 3.14
Os1 0.7500 0.7500 0.7500  6 Sc 2.72
Sc1 0.0029 0.0029 0.0029  3 Os 2.72, 3 Si 2.83
Sc2 0.4971 0.4971 0.4971  3 Os 2.72, 3 Si 2.83

=====

First-principles (GGA-PBE) data for crystalline Rb2HgBCl6 at its relaxed geometry, as listed in Alexandria.

As for the total energy: -2.8968 eV/atom. As for the density of states at the Fermi level: 0.24 states/eV/atom.

Cell lengths 7.1195, 7.1195, 7.3043 Å; angles 60.83, 60.83, 90.00 degrees
Last column: nearest neighbours and their distance in Å.
Atoms (fractional coordinates):
B1 0.5000 0.5000 0.0000  4 Cl 2.06
Cl1 0.2953 0.2953 0.0000  1 B 2.06
Cl2 0.7047 0.7047 0.0000  1 B 2.06
Cl3 0.7047 0.2953 0.0000  1 B 2.06
Cl4 0.2953 0.7047 0.0000  1 B 2.06
Cl5 0.2560 0.2560 0.4880  1 B 2.58, 1 Hg 2.71
Cl6 0.7440 0.7440 0.5120  1 B 2.58, 1 Hg 2.71
Hg1 0.0000 0.0000 0.0000  6 Cl 2.71-2.97
Rb1 0.2500 0.7500 0.5000  12 Cl 3.56-3.68
Rb2 0.7500 0.2500 0.5000  12 Cl 3.56-3.68

=====

First-principles (GGA-PBE) data for crystalline Zn2ReP at its relaxed geometry, as listed in Alexandria.

As for the density of states at the Fermi level: 0.45 states/eV/atom. The calculation puts the energy of formation from the pure elements at 0.343 eV per atom.

Cell lengths 8.7460, 8.7460, 8.7460 Å; angles 18.57, 18.57, 18.57 degrees
Last column: nearest neighbours and their distance in Å.
Atoms (fractional coordinates):
P1 0.5000 0.5000 0.5000  6 Zn 2.68, 6 P 2.82
Zn1 0.2491 0.2491 0.2491  3 P 2.68, 3 Re 2.71, 6 Zn 2.82
Zn2 0.7509 0.7509 0.7509  3 P 2.68, 3 Re 2.71, 6 Zn 2.82
Re1 0.0000 0.0000 0.0000  6 Zn 2.71, 6 Re 2.82

=====

First-principles (GGA-PBE) data for crystalline MnGa2Ru3 at its relaxed geometry, as listed in Alexandria.

As for the density of states at the Fermi level: 0.85 states/eV/atom. The calculation puts the energy of formation from the pure elements at -0.248 eV per atom.

Cell lengths 3.0412, 4.2525, 6.7071 Å; angles 108.48, 90.00, 90.00 degrees
Last column: nearest neighbours and their distance in Å.
Atoms (fractional coordinates):
Mn1 0.0000 0.0000 0.0000  8 Ru 2.60-2.61
Ga1 0.0000 0.3373 0.6747  8 Ru 2.57-2.66
Ga2 0.0000 0.6627 0.3253  8 Ru 2.57-2.66
Ru1 0.5000 0.8341 0.6682  2 Mn 2.60, 6 Ga 2.61-2.66
Ru2 0.5000 0.5000 0.0000  4 Ga 2.57, 4 Mn 2.61
Ru3 0.5000 0.1659 0.3318  2 Mn 2.60, 6 Ga 2.61-2.66

=====

First-principles (GGA-PBE) data for crystalline Ca2TbLu at its relaxed geometry, as listed in Alexandria.

As for the density of states at the Fermi level: 1.66 states/eV/atom. The calculation puts the energy of formation from the pure elements at 0.209 eV per atom.

Cell lengths 4.1062, 4.1062, 8.2457 Å; angles 90.00, 90.00, 90.00 degrees
Last column: nearest neighbours and their distance in Å.
Atoms (fractional coordinates):
Tb1 0.5000 0.5000 0.0000  8 Ca 3.58
Ca1 0.0000 0.0000 0.7456  4 Lu 3.54, 4 Tb 3.58
Ca2 0.0000 0.0000 0.2544  4 Lu 3.54, 4 Tb 3.58
Lu1 0.5000 0.5000 0.5000  8 Ca 3.54

=====

First-principles (GGA-PBE) data for crystalline CaTb6S8 at its relaxed geometry, as listed in Alexandria.

As for the total energy: -6.2591 eV/atom. As for the density of states at the Fermi level: 0.26 states/eV/atom.

Cell lengths 7.8513, 7.8513, 7.8513 Å; angles 60.00, 60.00, 60.00 degrees
Last column: nearest neighbours and their distance in Å.
Atoms (fractional coordinates):
S1 0.2511 0.2511 0.7489  4 Tb 2.78, 1 Ca 2.79
S2 0.2500 0.2500 0.2500  6 Tb 2.78
S3 0.7500 0.7500 0.7500  6 Tb 2.78
S4 0.2511 0.7489 0.7489  4 Tb 2.78, 1 Ca 2.79
S5 0.7489 0.2511 0.2511  4 Tb 2.78, 1 Ca 2.79
S6 0.7489 0.7489 0.2511  4 Tb 2.78, 1 Ca 2.79
S7 0.2511 0.7489 0.2511  4 Tb 2.78, 1 Ca 2.79
S8 0.7489 0.2511 0.7489  4 Tb 2.78, 1 Ca 2.79
Tb1 0.0000 0.5000 0.0000  6 S 2.78
Tb2 0.5000 0.0000 0.5000  6 S 2.78
Tb3 0.0000 0.0000 0.5000  6 S 2.78
Tb4 0.5000 0.5000 0.0000  6 S 2.78
Tb5 0.5000 0.0000 0.0000  6 S 2.78
Tb6 0.0000 0.5000 0.5000  6 S 2.78
Ca1 0.0000 0.0000 0.0000  6 S 2.79

=====

First-principles (GGA-PBE) data for crystalline Y2ZrCu at its relaxed geometry, as listed in Alexandria.

As for the density of states at the Fermi level: 1.55 states/eV/atom. The calculation puts the energy of formation from the pure elements at 0.205 eV per atom.

Cell lengths 5.5272, 5.5272, 5.5272 Å; angles 130.35, 130.35, 72.85 degrees
Last column: nearest neighbours and their distance in Å.
Atoms (fractional coordinates):
Y1 0.0000 0.0000 0.0000  4 Zr 3.21, 4 Cu 3.21, 4 Y 3.28
Y2 0.5000 0.5000 0.0000  4 Zr 3.21, 4 Cu 3.21, 4 Y 3.28
Zr1 0.2500 0.7500 0.5000  8 Y 3.21, 4 Cu 3.28
Cu1 0.7500 0.2500 0.5000  8 Y 3.21, 4 Zr 3.28

=====

First-principles (GGA-PBE) data for crystalline Ta2NbMoH at its relaxed geometry, as listed in Alexandria.

As for the total energy: -9.6437 eV/atom. As for the density of states at the Fermi level: 0.67 states/eV/atom.

Cell lengths 4.5880, 4.5880, 3.4698 Å; angles 90.00, 90.00, 90.00 degrees
Last column: nearest neighbours and their distance in Å.
Atoms (fractional coordinates):
H1 0.0000 0.0000 0.0000  2 Mo 1.73
Ta1 0.5000 0.0000 0.0000  2 H 2.29
Ta2 0.0000 0.5000 0.0000  2 H 2.29
Mo1 0.0000 0.0000 0.5000  2 H 1.73
Nb1 0.5000 0.5000 0.5000  8 Ta 2.88

=====

First-principles (GGA-PBE) data for crystalline In4Sn5Hg at its relaxed geometry, as listed in Alexandria.

As for the density of states at the Fermi level: 0.42 states/eV/atom. The calculation puts the energy of formation from the pure elements at 0.076 eV per atom.

Cell lengths 4.5672, 8.4470, 8.4470 Å; angles 75.16, 74.32, 74.32 degrees
Last column: nearest neighbours and their distance in Å.
Atoms (fractional coordinates):
Sn1 0.7500 0.5000 0.5000  4 Sn 3.13, 4 In 3.17
Sn2 0.9582 0.1262 0.4574  4 Sn 3.06-3.41, 2 In 3.29
Sn3 0.9582 0.4574 0.1262  4 Sn 3.06-3.41, 2 In 3.29
Sn4 0.5418 0.5426 0.8738  4 Sn 3.06-3.41, 2 In 3.29
Sn5 0.5418 0.8738 0.5426  4 Sn 3.06-3.41, 2 In 3.29
In1 0.9117 0.8383 0.8383  2 Hg 3.06, 4 Sn 3.29
In2 0.2500 0.7132 0.2868  1 Hg 2.96, 2 Sn 3.17
In3 0.2500 0.2868 0.7132  1 Hg 2.96, 2 Sn 3.17
In4 0.5883 0.1617 0.1617  2 Hg 3.06, 4 Sn 3.29
Hg1 0.2500 0.0000 0.0000  6 In 2.96-3.06

=====

First-principles (GGA-PBE) data for crystalline Pr5GeIr2 at its relaxed geometry, as listed in Alexandria.

As for the density of states at the Fermi level: 1.00 states/eV/atom. The calculation puts the energy of formation from the pure elements at -0.598 eV per atom.

Cell lengths 7.9937, 7.9937, 8.8584 Å; angles 116.82, 116.82, 90.00 degrees
Last column: nearest neighbours and their distance in Å.
Atoms (fractional coordinates):
Pr1 0.0245 0.5245 0.7215  3 Ir 2.97-3.06
Pr2 0.5000 0.5000 0.0000  4 Ir 3.11, 2 Ge 3.41
Pr3 0.6970 0.1970 0.7215  3 Ir 2.97-3.06
Pr4 0.4755 0.3030 0.2785  3 Ir 2.97-3.06
Pr5 0.0000 0.0000 0.0000  4 Ir 3.11, 2 Ge 3.41
Pr6 0.5245 0.6970 0.7215  3 Ir 2.97-3.06
Pr7 0.9755 0.4755 0.2785  3 Ir 2.97-3.06
Pr8 0.1970 0.0245 0.7215  3 Ir 2.97-3.06
Pr9 0.3030 0.8030 0.2785  3 Ir 2.97-3.06
Pr10 0.8030 0.9755 0.2785  3 Ir 2.97-3.06
Ir1 0.6346 0.1346 0.0000  8 Pr 2.97-3.11, 1 Ir 3.04
Ir2 0.1346 0.3654 0.0000  8 Pr 2.97-3.11, 1 Ir 3.04
Ir3 0.3654 0.8654 0.0000  8 Pr 2.97-3.11, 1 Ir 3.04
Ir4 0.8654 0.6346 0.0000  8 Pr 2.97-3.11, 1 Ir 3.04
Ge1 0.7500 0.7500 0.5000  10 Pr 3.35-3.41
Ge2 0.2500 0.2500 0.5000  10 Pr 3.35-3.41

=====

First-principles (GGA-PBE) data for crystalline BeP2Pb at its relaxed geometry, as listed in Alexandria.

As for the density of states at the Fermi level: 0.28 states/eV/atom. The calculation puts the energy of formation from the pure elements at 0.356 eV per atom.

Cell lengths 3.3848, 3.3848, 6.7606 Å; angles 90.00, 90.00, 90.01 degrees
Last column: nearest neighbours and their distance in Å.
Atoms (fractional coordinates):
P1 0.0000 0.0000 0.0161  4 P 2.48
P2 0.5000 0.5000 0.1105  1 Be 2.07
Pb1 0.0000 0.0000 0.5689  4 Be 2.87, 1 P 3.02
Be1 0.5000 0.5000 0.8045  1 P 2.07